A geometry-optimized BaCa2CdS4 structure, computed with PBE.

- Uncorrected formation energy: -1695 meV per atom
- V: 26.03 A^3/atom

a = 7.3251 Å, b = 7.3251 Å, c = 14.2522 Å
α = 90.00°, β = 90.00°, γ = 147.00°
Closest atoms and distances in Å follow each position.
Fractional coordinates of all 16 atoms:
Ba: 0.1242 0.8758 0.7500  6 S 3.17-3.26
Ba: 0.8758 0.1242 0.2500  6 S 3.17-3.26
Ca: 0.3733 0.6267 0.5483  6 S 2.80-3.09
Ca: 0.3733 0.6267 0.9517  6 S 2.80-3.09
Ca: 0.6267 0.3733 0.0483  6 S 2.80-3.09
Ca: 0.6267 0.3733 0.4517  6 S 2.80-3.09
Cd: 0.1477 0.8523 0.2500  4 S 2.51-2.53
Cd: 0.8523 0.1477 0.7500  4 S 2.51-2.53
S: 0.0000 0.0000 0.0000  4 Ca 2.82
S: 0.0000 0.0000 0.5000  4 Ca 2.82
S: 0.2617 0.7383 0.1143  1 Cd 2.51, 1 Ca 2.80
S: 0.2617 0.7383 0.3857  1 Cd 2.51, 1 Ca 2.80
S: 0.4543 0.5457 0.7500  2 Cd 2.53
S: 0.5457 0.4543 0.2500  2 Cd 2.53
S: 0.7383 0.2617 0.6143  1 Cd 2.51, 1 Ca 2.80
S: 0.7383 0.2617 0.8857  1 Cd 2.51, 1 Ca 2.80